The following is a GGA-PBE calculation of an optimized crystal structure of BiSbMo4N2, from the Open Quantum Materials Database.

## Properties
Mass density: 9.9 g/cm³
Calculated total energy: -0.6175 Ry per atom

Lattice parameters (Å, degrees): 3.349 3.349 12.769 90.00 90.00 120.00
Atoms (fractional coordinates):
Sb1 0.667 0.333 0.500
Mo1 0.667 0.333 0.815
Mo2 0.000 0.000 0.666
Mo3 0.667 0.333 0.185
Mo4 0.000 0.000 0.334
N1 0.333 0.667 0.749
N2 0.333 0.667 0.251
Bi1 0.000 0.000 0.000

***

The following is a GGA-PBE calculation of an optimized crystal structure of SnPdPt2, from the Open Quantum Materials Database.

## Properties
Mass density: 15.2 g/cm³
Calculated total energy: -0.4151 Ry per atom

Lattice parameters (Å, degrees): 4.562 4.562 4.562 60.00 60.00 60.00
Atoms (fractional coordinates):
Pt1 0.750 0.750 0.750
Pt2 0.000 0.000 0.000
Sn1 0.500 0.500 0.500
Pd1 0.250 0.250 0.250